(1)
A plane-wave DFT calculation with PBE was carried out for a relaxed FeIr2Os crystal.

a b c (Å): 5.3048 5.3048 5.3048
angles (deg): 149.77 130.73 58.91
Each line ends with the local moment (μB).
Atoms (fractional coordinates):
Ir (0.2553, 0.7553, 0.5000)  0.15
Ir (0.9719, 0.9719, 0.0000)  0.15
Os (0.5260, 0.5260, 0.0000)  0.08
Fe (0.7467, 0.2467, 0.5000)  2.45

Computed properties:
space-group type = Imm2, No. 44
energy relative to the elements = 1.1 eV per formula unit
theoretical density = 18.52 g/cm³


(2)
A plane-wave DFT calculation with PBE was carried out for a relaxed Fe3IrOs crystal.

a b c (Å): 4.4031 4.4031 4.4031
angles (deg): 90.00 90.00 90.00
Each line ends with the local moment (μB).
Atoms (fractional coordinates):
Fe (0.0000, 0.0000, 0.5000)  1.99
Fe (0.5000, 0.0000, 0.0000)  1.87
Fe (0.0000, 0.5000, 0.0000)  2.06
Ir (0.5000, 0.5000, 0.5000)  0.54
Os (0.0000, 0.0000, 0.0000)  -0.17

Computed properties:
space-group type = Pm-3m, No. 221
energy relative to the elements = 8.6 eV per formula unit
theoretical density = 10.70 g/cm³


(3)
A plane-wave DFT calculation with PBE was carried out for a relaxed Fe3Ir4Os crystal.

a b c (Å): 3.8240 3.8240 7.8972
angles (deg): 104.02 104.02 89.98
Each line ends with the local moment (μB).
Atoms (fractional coordinates):
Ir (0.1256, 0.1256, 0.2514)  0.11
Ir (0.6256, 0.6255, 0.2514)  0.11
Ir (0.8744, 0.8744, 0.7486)  0.11
Ir (0.3744, 0.3745, 0.7486)  0.11
Os (0.5000, 0.0000, 0.0000)  0.10
Fe (0.2475, 0.7476, 0.4946)  2.64
Fe (0.7525, 0.2524, 0.5054)  2.64
Fe (0.0000, 0.5000, 0.0000)  -2.19

Computed properties:
space-group type = I4/mmm, No. 139
energy relative to the elements = -0.3 eV per formula unit
theoretical density = 17.24 g/cm³


(4)
A plane-wave DFT calculation with PBE was carried out for a relaxed FeIr4Os crystal.

a b c (Å): 2.7225 3.8254 8.1337
angles (deg): 90.00 90.00 90.00
Each line ends with the local moment (μB).
Atoms (fractional coordinates):
Ir (0.0000, 0.5001, 0.3384)  -0.04
Ir (0.5000, 0.0000, 0.1681)  -0.14
Ir (0.5000, 0.0000, 0.8319)  -0.14
Ir (0.0000, 0.4999, 0.6616)  -0.04
Os (0.0000, 0.5000, 0.0000)  0.07
Fe (0.5000, 0.0000, 0.5000)  2.49

Computed properties:
space-group type = Pmmm, No. 47
energy relative to the elements = 0.0 eV per formula unit
theoretical density = 19.90 g/cm³


(5)
A plane-wave DFT calculation with PBE was carried out for a relaxed FeIr2Os crystal.

a b c (Å): 2.7340 4.5963 4.5559
angles (deg): 90.00 90.00 90.00
Each line ends with the local moment (μB).
Atoms (fractional coordinates):
Ir (0.5000, 0.5000, 0.0000)  0.27
Ir (0.0000, 0.0000, 0.0000)  0.10
Fe (0.0000, 0.5000, 0.5000)  2.63
Os (0.5000, 0.0000, 0.5000)  0.36

Computed properties:
space-group type = Pmmm, No. 47
energy relative to the elements = 1.4 eV per formula unit
theoretical density = 18.29 g/cm³


(6)
A plane-wave DFT calculation with PBE was carried out for a relaxed Fe3Ir12Os4 crystal.

a b c (Å): 8.0125 8.0125 8.0125
angles (deg): 109.47 109.47 109.47
Each line ends with the local moment (μB).
Atoms (fractional coordinates):
Ir (0.6399, 0.9131, 0.2732)  0.09
Ir (0.0869, 0.7268, 0.3601)  0.09
Ir (0.2732, 0.3601, 0.6332)  0.09
Ir (0.7268, 0.6399, 0.3668)  0.09
Ir (0.6399, 0.3668, 0.7268)  0.09
Ir (0.7268, 0.3601, 0.0869)  0.09
Ir (0.3601, 0.0869, 0.7268)  0.09
Ir (0.3668, 0.7268, 0.6399)  0.09
Ir (0.9131, 0.2732, 0.6399)  0.09
Ir (0.3601, 0.6332, 0.2732)  0.09
Ir (0.2732, 0.6399, 0.9131)  0.09
Ir (0.6332, 0.2732, 0.3601)  0.09
Os (0.0000, 0.0000, 0.5000)  -0.29
Os (0.5000, 0.0000, 0.0000)  -0.29
Os (0.0000, 0.5000, 0.0000)  -0.29
Os (0.5000, 0.5000, 0.5000)  -0.29
Fe (0.0000, 0.5000, 0.5000)  2.88
Fe (0.5000, 0.5000, 0.0000)  2.88
Fe (0.5000, 0.0000, 0.5000)  2.88

Computed properties:
space-group type = Im-3, No. 204
energy relative to the elements = 14.7 eV per formula unit
theoretical density = 13.57 g/cm³